Na2AgAuF6 | the Alexandria database | PBE | relaxed; DOS(E_F) = 0.01 states/eV/atom; formation energy without anion corrections = -1.733 eV/atom; excess energy over the best structure of this formula in the dataset = 0 meV/atom; final energy = -37.3 eV per cell
1.0
-0.545 2.933 -5.404
3.946 -0.692 -4.202
-1.709 -3.131 -5.569
Na F Ag Au
2 6 1 1
Direct
0.515 0.521 0.426
0.994 0.053 0.922
0.106 0.437 0.705
0.229 0.972 0.273
0.395 0.684 0.786
0.662 0.109 0.811
0.663 0.177 0.274
0.956 0.569 0.241
0.830 0.811 0.541
0.311 0.328 0.037

***

NaAg2AuF8 | the Alexandria database | PBE | relaxed; DOS(E_F) = 0.63 states/eV/atom; formation energy without anion corrections = -1.218 eV/atom; final energy = -39.9 eV per cell
1.0
5.452 0.000 0.000
0.000 5.452 0.000
-2.726 -2.726 5.456
F Ag Au Na
8 2 1 1
Direct
0.127 0.642 0.760
0.358 0.367 0.240
0.882 0.873 0.240
0.633 0.118 0.760
0.358 0.873 0.240
0.127 0.118 0.760
0.882 0.367 0.240
0.633 0.642 0.760
0.500 0.500 0.000
0.250 0.750 0.500
0.000 0.000 0.000
0.750 0.250 0.500

***

NaAg2AuF6 | the Alexandria database | PBE | relaxed; formation energy without anion corrections = -1.358 eV/atom; final energy = -35.1 eV per cell
1.0
-5.600 -0.241 -1.392
1.577 -3.068 5.490
3.227 6.010 0.082
F Na Au Ag
6 1 1 2
Direct
0.087 0.201 0.780
0.456 0.913 0.746
0.537 0.083 0.214
0.152 0.429 0.282
0.841 0.567 0.679
0.906 0.795 0.180
0.997 0.998 0.980
0.997 0.498 0.480
0.521 0.708 0.238
0.472 0.287 0.723

***

Na2AgAuF6 | the Alexandria database | PBE | relaxed; DOS(E_F) = 0.47 states/eV/atom; formation energy without anion corrections = -1.580 eV/atom; excess energy over the best structure of this formula in the dataset = 152 meV/atom; final energy = -35.8 eV per cell
1.0
0.000 4.403 4.403
4.403 0.000 4.403
4.403 4.403 0.000
F Ag Au Na
6 1 1 2
Direct
0.751 0.249 0.249
0.751 0.751 0.249
0.249 0.751 0.751
0.249 0.751 0.249
0.751 0.249 0.751
0.249 0.249 0.751
0.500 0.500 0.500
0.000 0.000 0.000
0.250 0.250 0.250
0.750 0.750 0.750